[1]
Below is an optimized crystal structure of Pm2Sc3Ga4, with properties calculated at the PBE level.

Computed properties:
- Formation enthalpy at 0 K: -472 meV/atom
- Relative energy among the computed polymorphs: 13.4 kJ/mol of atoms
- Calculated density: 5.62 g/cm³
- Uncorrected energy: -4.984 eV/atom

a b c (Å): 6.4891 8.2188 8.4401
angles (deg): 90.00 112.61 90.00
Positions (direct):
Pm: 0.1092 0.5829 0.2184
Pm: 0.8908 0.4171 0.7816
Pm: 0.3908 0.0829 0.7816
Pm: 0.6092 0.9171 0.2184
Sc: 0.0000 0.0000 0.0000
Sc: 0.5000 0.5000 0.0000
Sc: 0.5340 0.7500 0.5680
Sc: 0.9660 0.2500 0.4320
Sc: 0.4660 0.2500 0.4320
Sc: 0.0340 0.7500 0.5680
Ga: 0.7107 0.7500 0.9215
Ga: 0.7893 0.2500 0.0785
Ga: 0.2893 0.2500 0.0785
Ga: 0.2107 0.7500 0.9215
Ga: 0.1836 0.9582 0.3673
Ga: 0.8164 0.0418 0.6327
Ga: 0.3164 0.4582 0.6327
Ga: 0.6836 0.5418 0.3673

[2]
Below is an optimized crystal structure of PrPuSbTe, with properties calculated at the PBE level.

Computed properties:
- Relative energy among the computed polymorphs: 0.0 kJ/mol of atoms
- Calculated density: 8.18 g/cm³
- Uncorrected energy: -7.719 eV/atom

a b c (Å): 4.5035 4.5035 7.7750
angles (deg): 73.16 73.16 60.00
Each line ends with the local moment (μB).
Positions (direct):
Pr: 0.9420 0.9420 0.1741  0.04
Pu: 0.4456 0.4456 0.6631  5.41
Sb: 0.1917 0.1917 0.4250  -0.06
Te: 0.6972 0.6972 0.9085  -0.05

[3]
Below is an optimized crystal structure of Ac3Cd4Ge2, with properties calculated at the PBE level.

Computed properties:
- Formation enthalpy at 0 K: -477 meV/atom
- Calculated density: 8.16 g/cm³
- Uncorrected energy: -3.279 eV/atom

a b c (Å): 4.6501 6.5578 9.8441
angles (deg): 68.84 76.34 69.23
Positions (direct):
Ac: 0.3181 0.7287 0.6351
Ac: 0.0000 0.0000 0.0000
Ac: 0.6819 0.2713 0.3649
Cd: 0.2444 0.4212 0.0901
Cd: 0.7556 0.5788 0.9099
Cd: 0.0131 0.3247 0.6491
Cd: 0.9869 0.6753 0.3509
Ge: 0.3855 0.9550 0.2740
Ge: 0.6145 0.0450 0.7260

[4]
Below is an optimized crystal structure of Y4Hf2Te, with properties calculated at the PBE level.

Computed properties:
- Calculated density: 5.77 g/cm³
- Uncorrected energy: -6.519 eV/atom

a b c (Å): 5.7512 5.7512 8.3706
angles (deg): 69.91 69.91 90.00
Positions (direct):
Y: 0.7986 0.7986 0.4029
Y: 0.2014 0.2014 0.5971
Y: 0.0000 0.5000 0.0000
Y: 0.5000 0.0000 0.0000
Te: 0.0000 0.0000 0.0000
Hf: 0.5925 0.5925 0.8150
Hf: 0.4075 0.4075 0.1850

Q: Among the records above, which one has the lowest uncorrected energy?
A: PrPuSbTe